#P
Compound: Sr2NbSe2
Source: Alexandria
Functional: GGA-PBE
Structure: optimized geometry

## Properties
**Space-group type**: P4/mbm (127)
**Volume**: 26.33 Å³ per atom

```
data_Sr2NbSe2
_chemical_formula_sum 'Sr4 Nb2 Se4'
_cell_length_a 7.752
_cell_length_b 7.752
_cell_length_c 4.382
_cell_angle_alpha 90.00
_cell_angle_beta 90.00
_cell_angle_gamma 90.00
_symmetry_space_group_name_H-M 'P 1'
_symmetry_Int_Tables_number 1
_symmetry_space_group_name_Hall 'P 1'
loop_
_atom_site_label
_atom_site_type_symbol
_atom_site_fract_x
_atom_site_fract_y
_atom_site_fract_z
Sr1 Sr 0.158 0.342 0.000
Sr2 Sr 0.342 0.842 0.000
Sr3 Sr 0.658 0.158 0.000
Sr4 Sr 0.842 0.658 0.000
Nb1 Nb 0.000 0.000 0.500
Nb2 Nb 0.500 0.500 0.500
Se1 Se 0.159 0.659 0.500
Se2 Se 0.341 0.159 0.500
Se3 Se 0.659 0.841 0.500
Se4 Se 0.841 0.341 0.500
```


#Q
Compound: Sr2NbSe2
Source: Alexandria
Functional: GGA-PBE
Structure: optimized geometry

## Properties
**Space-group type**: I4/mmm (139)
**Volume**: 34.90 Å³ per atom

```
data_Sr2NbSe2
_chemical_formula_sum 'Sr2 Nb1 Se2'
_cell_length_a 6.305
_cell_length_b 6.305
_cell_length_c 6.305
_cell_angle_alpha 120.99
_cell_angle_beta 120.99
_cell_angle_gamma 88.30
_symmetry_space_group_name_H-M 'P 1'
_symmetry_Int_Tables_number 1
_symmetry_space_group_name_Hall 'P 1'
loop_
_atom_site_label
_atom_site_type_symbol
_atom_site_fract_x
_atom_site_fract_y
_atom_site_fract_z
Sr1 Sr 0.250 0.750 0.500
Sr2 Sr 0.750 0.250 0.500
Nb1 Nb 0.000 0.000 0.000
Se1 Se 0.282 0.282 0.000
Se2 Se 0.718 0.718 0.000
```


The most stable arrangement is #P, and the next structure is 238 meV per atom less stable.